i | Below is an optimized crystal structure of YCrW2, with properties calculated at the PBEsol level.

Cell and atoms, written as CIF:
```
data_YCrW2
_symmetry_space_group_name_H-M 'P 1'
_symmetry_Int_Tables_number 1
_cell_length_a 2.791
_cell_length_b 2.791
_cell_length_c 9.100
_cell_angle_alpha 90.00
_cell_angle_beta 90.00
_cell_angle_gamma 110.61
loop_
_symmetry_equiv_pos_as_xyz
'x,y,z'
loop_
_atom_site_label
_atom_site_fract_x
_atom_site_fract_y
_atom_site_fract_z
Y1 0.000 0.000 0.000
Cr1 0.500 0.500 0.264
W1 0.000 0.000 0.474
W2 0.500 0.500 0.713
```

***

ii | Below is an optimized crystal structure of YCrW2, with properties calculated at the PBEsol level.

Cell and atoms, written as CIF:
```
data_YCrW2
_symmetry_space_group_name_H-M 'P 1'
_symmetry_Int_Tables_number 1
_cell_length_a 5.467
_cell_length_b 5.467
_cell_length_c 5.467
_cell_angle_alpha 138.89
_cell_angle_beta 138.89
_cell_angle_gamma 59.54
loop_
_symmetry_equiv_pos_as_xyz
'x,y,z'
loop_
_atom_site_label
_atom_site_fract_x
_atom_site_fract_y
_atom_site_fract_z
Y1 0.000 0.000 0.000
Cr1 0.500 0.500 0.000
W1 0.250 0.750 0.500
W2 0.750 0.250 0.500
```

***

Order of stability, best first: i, ii